! CaWF4, optimized geometry, DFT GGA+U; values from VASP
! - uncorrected energy (eV per atom) = -5.629
&SYSTEM
  ibrav = 0, nat = 12, ntyp = 3
/
ATOMIC_SPECIES
Ca 40.08 Ca.upf
W 183.84 W.upf
F 19.00 F.upf
CELL_PARAMETERS angstrom
-2.800 2.800 5.736
2.800 -2.800 5.736
2.800 2.800 -5.736
ATOMIC_POSITIONS angstrom
Ca 0.000 0.000 2.868
Ca 0.000 0.000 8.604
W 2.800 0.000 0.000
W 0.000 2.800 0.000
F 3.809 1.009 -1.612
F 1.009 1.792 -1.612
F 3.809 1.009 1.612
F 1.009 1.792 1.612
F 1.792 1.009 4.124
F -1.009 1.792 4.124
F 1.792 1.009 7.348
F -1.009 1.792 7.348